## CrSiAg6O8 (SCAN)

Data for a crystal of CrSiAg6O8 relaxed with PBEsol.

```
data_CrSiAg6O8
_chemical_formula_sum 'Cr2 Si2 Ag12 O16'
_cell_length_a 6.850
_cell_length_b 6.850
_cell_length_c 10.285
_cell_angle_alpha 109.45
_cell_angle_beta 109.45
_cell_angle_gamma 90.00
_space_group_name_H-M_alt 'P 1'
_space_group_IT_number 1
loop_
_space_group_symop_operation_xyz
'x,y,z'
loop_
_atom_site_label
_atom_site_type_symbol
_atom_site_fract_x
_atom_site_fract_y
_atom_site_fract_z
_atom_site_occupancy
Ag1 Ag 0.125 0.583 0.750 1
O1 O 0.051 0.251 0.103 1
Ag2 Ag 0.833 0.875 0.250 1
Ag3 Ag 0.625 0.167 0.750 1
O2 O 0.051 0.852 0.103 1
O3 O 0.148 0.949 0.897 1
Si1 Si 0.500 0.500 0.000 1
O4 O 0.353 0.552 0.104 1
O5 O 0.499 0.198 0.396 1
O6 O 0.199 0.898 0.397 1
O7 O 0.802 0.103 0.604 1
Si2 Si 0.750 0.250 0.500 1
Ag4 Ag 0.625 0.583 0.750 1
O8 O 0.501 0.801 0.603 1
O9 O 0.199 0.499 0.397 1
Ag5 Ag 0.417 0.875 0.250 1
Ag6 Ag 0.125 0.167 0.750 1
O10 O 0.749 0.949 0.897 1
Cr1 Cr 0.250 0.750 0.500 1
Cr2 Cr 0.000 0.000 0.000 1
Ag7 Ag 0.268 0.268 0.535 1
O11 O 0.751 0.552 0.104 1
Ag8 Ag 0.417 0.375 0.250 1
O12 O 0.448 0.647 0.896 1
Ag9 Ag 0.732 0.732 0.465 1
O13 O 0.802 0.501 0.604 1
Ag10 Ag 0.982 0.482 0.965 1
O14 O 0.897 0.198 0.396 1
Ag11 Ag 0.833 0.375 0.250 1
Ag12 Ag 0.518 0.018 0.035 1
O15 O 0.102 0.801 0.603 1
O16 O 0.448 0.249 0.896 1
```

space-group type	I4_1/amd, No. 141
ΔE_f (raw)	-1.15	eV per atom

---

## CaHgPb2 (SCAN)

Data for a crystal of CaHgPb2 relaxed with PBEsol.

```
data_CaHgPb2
_chemical_formula_sum 'Ca1 Hg1 Pb2'
_cell_length_a 3.752
_cell_length_b 5.348
_cell_length_c 6.334
_cell_angle_alpha 114.97
_cell_angle_beta 107.23
_cell_angle_gamma 90.00
_space_group_name_H-M_alt 'P 1'
_space_group_IT_number 1
loop_
_space_group_symop_operation_xyz
'x,y,z'
loop_
_atom_site_label
_atom_site_type_symbol
_atom_site_fract_x
_atom_site_fract_y
_atom_site_fract_z
_atom_site_occupancy
Pb1 Pb 0.751 0.251 0.501 1
Pb2 Pb 0.985 0.985 0.970 1
Ca1 Ca 0.516 0.516 0.031 1
Hg1 Hg 0.249 0.749 0.497 1
```

formation energy from the elements	-139.8	kJ/mol of formula units
space-group type	Imm2, No. 44

---

V for every record listed, in sequence, given in Å³/cell: 426 109.
DFT total energy for every record listed, in sequence, given in eV/atom: -17.807 -57.710.